Record 1
The following is a PBE calculation of an optimized crystal structure of Zr5ZnIr, from Alexandria.

abc: 7.691 7.691 5.389
angles: 90.15 90.15 112.50
Atoms (fractional coordinates):
1 Zr 0.009 0.346 0.751
2 Zr 0.198 0.802 0.750
3 Zr 0.223 0.372 0.252
4 Zr 0.346 0.009 0.251
5 Zr 0.372 0.223 0.752
6 Zr 0.628 0.777 0.248
7 Zr 0.654 0.991 0.749
8 Zr 0.777 0.628 0.748
9 Zr 0.802 0.198 0.250
10 Zr 0.991 0.654 0.249
11 Zn 0.409 0.591 0.750
12 Zn 0.591 0.409 0.250
13 Ir 0.000 0.000 0.000
14 Ir 0.000 0.000 0.500

## Properties
total energy	-7.81	eV/atom
density	8049	kg/m3
formation energy from the elements	-1.77	eV per formula unit
total magnetic moment	0.000	μB per formula unit

Record 2
The following is a PBE calculation of an optimized crystal structure of PmTh3Pt4, from Alexandria.

abc: 7.253 8.499 7.194
angles: 90.00 110.03 90.00
Atoms (fractional coordinates):
1 Pm 0.000 0.124 0.250
2 Pm 0.000 0.876 0.750
3 Th 0.000 0.374 0.750
4 Th 0.000 0.626 0.250
5 Th 0.500 0.125 0.750
6 Th 0.500 0.375 0.250
7 Th 0.500 0.625 0.750
8 Th 0.500 0.875 0.250
9 Pt 0.251 0.378 0.502
10 Pt 0.251 0.622 0.002
11 Pt 0.256 0.128 0.999
12 Pt 0.256 0.872 0.499
13 Pt 0.744 0.128 0.501
14 Pt 0.744 0.872 0.001
15 Pt 0.749 0.378 0.998
16 Pt 0.749 0.622 0.498

## Properties
total energy	-7.59	eV/atom
density	12926	kg/m3
formation energy from the elements	-9.51	eV per formula unit
total magnetic moment	0.000	μB per formula unit

Record 3
The following is a PBE calculation of an optimized crystal structure of AgOs2Br8, from Alexandria.

abc: 6.595 7.014 7.585
angles: 77.38 89.04 67.08
Atoms (fractional coordinates):
1 Ag 0.000 0.000 0.000
2 Os 0.242 0.504 0.627
3 Os 0.758 0.496 0.373
4 Br 0.164 0.282 0.438
5 Br 0.217 0.274 0.915
6 Br 0.294 0.752 0.796
7 Br 0.341 0.712 0.344
8 Br 0.659 0.288 0.656
9 Br 0.706 0.248 0.204
10 Br 0.783 0.726 0.085
11 Br 0.836 0.718 0.562

## Properties
total energy	-3.60	eV/atom
density	5955	kg/m3
formation energy without anion corrections	-0.079	eV per atom
total magnetic moment	2.984	μB per formula unit

Record 4
The following is a PBE calculation of an optimized crystal structure of AcThCdPt, from Alexandria.

abc: 5.390 5.390 5.390
angles: 60.00 60.00 60.00
Atoms (fractional coordinates):
1 Ac 0.000 0.000 0.000
2 Th 0.500 0.500 0.500
3 Cd 0.750 0.750 0.750
4 Pt 0.250 0.250 0.250

## Properties
total energy	-5.08	eV/atom
density	11495	kg/m3
formation energy from the elements	-1.83	eV per formula unit
total magnetic moment	0.000	μB per formula unit

Record 5
The following is a PBE calculation of an optimized crystal structure of Ce2PaF11, from Alexandria.

abc: 8.865 8.865 8.865
angles: 123.12 105.62 100.62
Atoms (fractional coordinates):
1 Ce 0.182 0.140 0.322
2 Ce 0.318 0.640 0.958
3 Ce 0.682 0.360 0.042
4 Ce 0.818 0.860 0.678
5 Pa 0.250 0.750 0.500
6 Pa 0.750 0.250 0.500
7 F 0.000 0.000 0.000
8 F 0.020 0.445 0.761
9 F 0.072 0.843 0.638
10 F 0.184 0.945 0.425
11 F 0.205 0.434 0.362
12 F 0.220 0.874 0.094
13 F 0.280 0.374 0.653
14 F 0.295 0.657 0.230
15 F 0.316 0.741 0.761
16 F 0.428 0.066 0.770
17 F 0.480 0.241 0.425
18 F 0.500 0.500 0.000
19 F 0.520 0.759 0.575
20 F 0.572 0.934 0.230
21 F 0.684 0.259 0.239
22 F 0.705 0.343 0.770
23 F 0.720 0.626 0.347
24 F 0.780 0.126 0.906
25 F 0.795 0.566 0.638
26 F 0.816 0.055 0.575
27 F 0.928 0.157 0.362
28 F 0.980 0.555 0.239

## Properties
total energy	-6.90	eV/atom
density	4670	kg/m3
formation energy without anion corrections	-3.905	eV per atom
total magnetic moment	2.025	μB per formula unit

Record 6
The following is a PBE calculation of an optimized crystal structure of Hf2RuAuSe, from Alexandria.

abc: 5.044 5.044 4.923
angles: 90.00 90.00 90.00
Atoms (fractional coordinates):
1 Hf 0.000 0.500 0.000
2 Hf 0.500 0.000 0.000
3 Ru 0.000 0.000 0.500
4 Au 0.000 0.000 0.000
5 Se 0.500 0.500 0.500

## Properties
total energy	-6.18	eV/atom
density	9729	kg/m3
formation energy without anion corrections	1.005	eV per atom
total magnetic moment	0.000	μB per formula unit

Record 7
The following is a PBE calculation of an optimized crystal structure of Nd6SbSe4, from Alexandria.

abc: 7.211 7.211 21.520
angles: 90.00 90.00 145.83
Atoms (fractional coordinates):
1 Nd 0.000 0.000 0.000
2 Nd 0.000 0.000 0.500
3 Nd 0.158 0.842 0.750
4 Nd 0.272 0.728 0.094
5 Nd 0.272 0.728 0.406
6 Nd 0.446 0.554 0.664
7 Nd 0.446 0.554 0.836
8 Nd 0.554 0.446 0.164
9 Nd 0.554 0.446 0.336
10 Nd 0.728 0.272 0.594
11 Nd 0.728 0.272 0.906
12 Nd 0.842 0.158 0.250
13 Sb 0.173 0.827 0.250
14 Sb 0.827 0.173 0.750
15 Se 0.085 0.915 0.624
16 Se 0.085 0.915 0.876
17 Se 0.358 0.642 0.537
18 Se 0.358 0.642 0.963
19 Se 0.642 0.358 0.037
20 Se 0.642 0.358 0.463
21 Se 0.915 0.085 0.124
22 Se 0.915 0.085 0.376

## Properties
total energy	-5.79	eV/atom
density	6884	kg/m3
formation energy without anion corrections	-1.551	eV per atom
total magnetic moment	0.168	μB per formula unit

Record 8
The following is a PBE calculation of an optimized crystal structure of La3SnC, from Alexandria.

abc: 8.384 8.384 5.186
angles: 90.00 90.00 129.33
Atoms (fractional coordinates):
1 La 0.000 0.500 0.500
2 La 0.133 0.867 0.000
3 La 0.254 0.254 0.500
4 La 0.500 0.000 0.500
5 La 0.746 0.746 0.500
6 La 0.867 0.133 0.000
7 Sn 0.364 0.636 0.000
8 Sn 0.636 0.364 0.000
9 C 0.119 0.881 0.500
10 C 0.881 0.119 0.500

## Properties
total energy	-6.05	eV/atom
density	6448	kg/m3
formation energy from the elements	-2.25	eV per formula unit
total magnetic moment	0.000	μB per formula unit

Record 9
The following is a PBE calculation of an optimized crystal structure of MnHOs2Pt, from Alexandria.

abc: 3.888 3.888 3.901
angles: 90.00 90.00 90.00
Atoms (fractional coordinates):
1 Mn 0.000 0.000 0.000
2 H 0.000 0.000 0.500
3 Os 0.000 0.500 0.500
4 Os 0.500 0.000 0.500
5 Pt 0.500 0.500 0.000

## Properties
total energy	-8.09	eV/atom
density	17783	kg/m3
total magnetic moment	2.396	μB per formula unit

Record 10
The following is a PBE calculation of an optimized crystal structure of GdV2Mo, from Alexandria.

abc: 4.650 4.650 4.650
angles: 59.67 59.67 59.67
Atoms (fractional coordinates):
1 Gd 0.000 0.000 0.000
2 V 0.249 0.249 0.249
3 V 0.751 0.751 0.751
4 Mo 0.500 0.500 0.500

## Properties
total energy	-10.38	eV/atom
density	8355	kg/m3
formation energy from the elements	1.64	eV per formula unit
total magnetic moment	9.909	μB per formula unit

Record 11
The following is a PBE calculation of an optimized crystal structure of PbCl, from Alexandria.

abc: 6.055 6.055 6.055
angles: 90.00 90.00 90.00
Atoms (fractional coordinates):
1 Pb 0.099 0.099 0.099
2 Pb 0.401 0.901 0.599
3 Pb 0.599 0.401 0.901
4 Pb 0.901 0.599 0.401
5 Cl 0.126 0.626 0.874
6 Cl 0.374 0.374 0.374
7 Cl 0.626 0.874 0.126
8 Cl 0.874 0.126 0.626

## Properties
total energy	-3.41	eV/atom
density	7260	kg/m3
formation energy without anion corrections	-0.632	eV per atom
total magnetic moment	0.000	μB per formula unit

Record 12
The following is a PBE calculation of an optimized crystal structure of Ba2CdHgAu, from Alexandria.

abc: 8.476 4.945 8.793
angles: 90.00 112.71 90.00
Atoms (fractional coordinates):
1 Ba 0.040 0.250 0.204
2 Ba 0.359 0.750 0.627
3 Ba 0.641 0.250 0.373
4 Ba 0.960 0.750 0.796
5 Cd 0.339 0.250 0.943
6 Cd 0.661 0.750 0.057
7 Hg 0.338 0.750 0.170
8 Hg 0.662 0.250 0.830
9 Au 0.078 0.250 0.602
10 Au 0.922 0.750 0.398

## Properties
total energy	-2.20	eV/atom
density	7665	kg/m3
formation energy from the elements	-2.64	eV per formula unit
polymorph energy (0 for the lowest one)	0	meV/atom
total magnetic moment	0.000	μB per formula unit